# 1
First-principles (PBE) data for Mn2Al2Fe after structural relaxation, as listed in Alexandria.

Results
DOS at the Fermi energy in states/eV per atom: 1.2915
Total moment in Bohr magnetons per cell: 4.93
DFT formation energy in eV per atom: 0.24
Total energy in eV per cell: -66.13

Cell: 3.168 3.168 13.307 Å, 90.00 90.00 90.00°
Space group I4/mmm (No. 139)
One atom of each set of equivalent atoms:
Mn1 0.000 0.500 0.250 x4
Al1 0.000 0.000 0.097 x4
Fe1 0.000 0.000 0.500 x2



# 2
First-principles (PBE) data for MnH2I after structural relaxation, as listed in Alexandria.

Results
DOS at the Fermi energy in states/eV per atom: 0.1876
Total moment in Bohr magnetons per cell: 16.00
Total energy in eV per cell: -63.67

Cell: 4.294 4.294 12.237 Å, 90.00 90.00 90.00°
Space group I4_1/amd (No. 141, origin choice 2)
One atom of each set of equivalent atoms:
Mn1 0.000 0.250 0.375 x4
H1 0.000 0.000 0.500 x8
I1 0.000 0.250 0.875 x4



# 3
First-principles (PBE) data for Sn2BiBr after structural relaxation, as listed in Alexandria.

Results
DOS at the Fermi energy in states/eV per atom: 0.3617
Total moment in Bohr magnetons per cell: 0.00
ΔE_f (raw) in meV/atom: -94
Total energy in eV per cell: -55.74

Cell: 7.748 7.748 7.748 Å, 90.00 90.00 90.00°
Space group Fm-3m (No. 225)
One atom of each set of equivalent atoms:
Sn1 0.250 0.250 0.250 x8
Bi1 0.000 0.000 0.000 x4
Br1 0.000 0.000 0.500 x4



# 4
First-principles (PBE) data for Cd2AsSe after structural relaxation, as listed in Alexandria.

Results
DOS at the Fermi energy in states/eV per atom: 0.3374
Total moment in Bohr magnetons per cell: 0.00
ΔE_f (raw) in meV/atom: 228
Total energy in eV per cell: -9.05

Cell: 2.993 2.993 10.224 Å, 90.00 90.00 90.00°
Space group P4mm (No. 99)
One atom of each set of equivalent atoms:
Cd1 0.000 0.000 0.000 x1
Cd2 0.500 0.500 0.235 x1
As1 0.500 0.500 0.788 x1
Se1 0.000 0.000 0.465 x1